Entry 1:
A relaxed structure of Ca2CdCo. Source: Alexandria via LeMat-Bulk, functional GGA-PBEsol.

Computed properties:
- DOS at the Fermi energy: 5.61 states/eV/f.u.
- Final energy: -3.19 eV per atom
- SG: P4/mmm (123)
- Density: 4.644 g/cm3
- Calculated formation energy: 0.11 eV per atom

a b c (Å): 3.4543 3.4543 7.5362
angles (deg): 90.00 90.00 90.00
Sites, in units of the cell vectors:
Ca (0.0000, 0.0000, 0.2133)
Ca (0.0000, 0.0000, 0.7867)
Cd (0.5000, 0.5000, 0.5000)
Co (0.5000, 0.5000, 0.0000)

Entry 2:
A relaxed structure of LaMgAg2. Source: Alexandria via LeMat-Bulk, functional GGA-PBEsol.

Computed properties:
- DOS at the Fermi energy: 2.66 states/eV/f.u.
- Final energy: -3.64 eV per atom
- SG: P4/mmm (123)
- Density: 7.301 g/cm3
- Calculated formation energy: -0.22 eV per atom

a b c (Å): 3.3664 3.3664 7.6048
angles (deg): 90.00 90.00 90.00
Sites, in units of the cell vectors:
Mg (0.5000, 0.5000, 0.5000)
Ag (0.0000, 0.0000, 0.7056)
Ag (0.0000, 0.0000, 0.2944)
La (0.5000, 0.5000, 0.0000)

Entry 3:
A relaxed structure of Be2FeIrBr. Source: Alexandria via LeMat-Bulk, functional GGA-PBEsol.

Computed properties:
- DOS at the Fermi energy: 2.26 states/eV/f.u.
- Final energy: -4.73 eV per atom
- E_form (uncorrected): 998 meV per atom
- SG: P4/mmm (123)
- Density: 7.765 g/cm3

a b c (Å): 4.1102 4.1102 4.3799
angles (deg): 90.00 90.00 90.00
Sites, in units of the cell vectors:
Fe (0.0000, 0.0000, 0.0000)
Br (0.5000, 0.5000, 0.5000)
Ir (0.0000, 0.0000, 0.5000)
Be (0.0000, 0.5000, 0.0000)
Be (0.5000, 0.0000, 0.0000)

Entry 4:
A relaxed structure of EuP7. Source: Alexandria via LeMat-Bulk, functional GGA-PBEsol.

Computed properties:
- DOS at the Fermi energy: 9.92 states/eV/f.u.
- Final energy: -6.75 eV per atom
- SG: P2_1/c (14)
- Density: 3.927 g/cm3
- Calculated formation energy: -0.36 eV per atom

a b c (Å): 5.6196 10.3817 11.1658
angles (deg): 106.74 90.00 90.00
Sites, in units of the cell vectors:
P (0.9028, 0.0786, 0.7207)
P (0.0972, 0.9214, 0.2793)
P (0.9424, 0.3285, 0.5393)
P (0.7952, 0.3214, 0.3541)
P (0.2751, 0.3594, 0.9400)
P (0.0473, 0.9212, 0.9116)
P (0.7048, 0.8214, 0.8541)
P (0.4424, 0.1715, 0.9607)
P (0.2928, 0.2483, 0.4649)
P (0.7928, 0.2517, 0.0351)
P (0.2072, 0.7483, 0.9649)
P (0.0576, 0.6715, 0.4607)
P (0.2048, 0.6786, 0.6459)
P (0.9278, 0.2776, 0.8597)
P (0.4278, 0.2224, 0.6403)
P (0.5722, 0.7776, 0.3597)
P (0.7249, 0.6406, 0.0600)
P (0.5473, 0.5788, 0.5884)
P (0.9527, 0.0788, 0.0884)
P (0.0722, 0.7224, 0.1403)
P (0.7751, 0.1406, 0.5600)
P (0.4028, 0.4214, 0.7793)
P (0.5972, 0.5786, 0.2207)
P (0.4527, 0.4212, 0.4116)
P (0.2249, 0.8594, 0.4400)
P (0.5576, 0.8285, 0.0393)
P (0.7072, 0.7517, 0.5351)
P (0.2952, 0.1786, 0.1459)
Eu (0.6075, 0.0348, 0.2841)
Eu (0.8925, 0.5348, 0.7841)
Eu (0.1075, 0.4652, 0.2159)
Eu (0.3925, 0.9652, 0.7159)

Entry 5:
A relaxed structure of YCdAg. Source: Alexandria via LeMat-Bulk, functional GGA-PBEsol.

Computed properties:
- DOS at the Fermi energy: 1.83 states/eV/f.u.
- Final energy: -4.11 eV per atom
- SG: P-6m2 (187)
- Density: 7.859 g/cm3
- Calculated formation energy: -0.33 eV per atom

a b c (Å): 3.2669 4.8053 4.8053
angles (deg): 120.00 90.00 90.00
Sites, in units of the cell vectors:
Cd (0.0000, 0.3333, 0.6667)
Y (0.5000, 0.6667, 0.3333)
Ag (0.0000, 0.0000, 0.0000)

Entry 6:
A relaxed structure of TaTiFe2. Source: Alexandria via LeMat-Bulk, functional GGA-PBEsol.

Computed properties:
- DOS at the Fermi energy: 3.09 states/eV/f.u.
- Final energy: -10.00 eV per atom
- SG: Fm-3m (225)
- Density: 10.762 g/cm3
- Calculated formation energy: -0.30 eV per atom

a b c (Å): 4.2041 4.2041 4.2041
angles (deg): 60.00 60.00 60.00
Sites, in units of the cell vectors:
Ta (0.5000, 0.5000, 0.5000)
Fe (0.7500, 0.7500, 0.7500)
Fe (0.2500, 0.2500, 0.2500)
Ti (0.0000, 0.0000, 0.0000)

Entry 7:
A relaxed structure of TeIrSe. Source: Alexandria via LeMat-Bulk, functional GGA-PBEsol.

Computed properties:
- Excess energy over the best structure of this formula in the dataset: 0.522 eV per atom
- DOS at the Fermi energy: 2.08 states/eV/f.u.
- Final energy: -5.46 eV per atom
- E_form (uncorrected): 274 meV per atom
- SG: Imm2 (44)
- Density: 10.895 g/cm3

a b c (Å): 3.0011 3.3421 6.4626
angles (deg): 104.99 103.43 90.00
Sites, in units of the cell vectors:
Se (0.3690, 0.3690, 0.7380)
Ir (0.9977, 0.9977, 0.9954)
Te (0.6333, 0.6333, 0.2666)

Entry 8:
A relaxed structure of NaLa3In. Source: Alexandria via LeMat-Bulk, functional GGA-PBEsol.

Computed properties:
- DOS at the Fermi energy: 9.08 states/eV/f.u.
- Final energy: -3.72 eV per atom
- SG: Pm-3m (221)
- Density: 4.149 g/cm3
- Calculated formation energy: 0.37 eV per atom

a b c (Å): 6.0544 6.0544 6.0544
angles (deg): 90.00 90.00 90.00
Sites, in units of the cell vectors:
La (0.0000, 0.5000, 0.0000)
La (0.0000, 0.0000, 0.5000)
La (0.5000, 0.0000, 0.0000)
Na (0.5000, 0.5000, 0.5000)
In (0.0000, 0.0000, 0.0000)

Entry 9:
A relaxed structure of ZnAg2Au. Source: Alexandria via LeMat-Bulk, functional GGA-PBEsol.

Computed properties:
- DOS at the Fermi energy: 0.66 states/eV/f.u.
- Final energy: -3.11 eV per atom
- SG: F-43m (216)
- Density: 12.446 g/cm3
- Calculated formation energy: -0.08 eV per atom

a b c (Å): 4.4849 4.4849 4.4849
angles (deg): 60.00 60.00 60.00
Sites, in units of the cell vectors:
Ag (0.2500, 0.2500, 0.2500)
Ag (0.0000, 0.0000, 0.0000)
Au (0.5000, 0.5000, 0.5000)
Zn (0.7500, 0.7500, 0.7500)

Entry 10:
A relaxed structure of Na2YReIr. Source: Alexandria via LeMat-Bulk, functional GGA-PBEsol.

Computed properties:
- DOS at the Fermi energy: 3.68 states/eV/f.u.
- Final energy: -4.36 eV per atom
- SG: P4/mmm (123)
- Density: 6.988 g/cm3
- Calculated formation energy: 2.19 eV per atom

a b c (Å): 4.8054 5.0380 5.0380
angles (deg): 90.00 90.00 90.00
Sites, in units of the cell vectors:
Na (0.0000, 0.5000, 0.0000)
Na (0.0000, 0.0000, 0.5000)
Y (0.0000, 0.0000, 0.0000)
Re (0.5000, 0.5000, 0.5000)
Ir (0.5000, 0.0000, 0.0000)

Entry 11:
A relaxed structure of La3MnRh. Source: Alexandria via LeMat-Bulk, functional GGA-PBEsol.

Computed properties:
- DOS at the Fermi energy: 4.03 states/eV/f.u.
- Final energy: -6.57 eV per atom
- SG: Pm-3m (221)
- Density: 7.591 g/cm3
- Calculated formation energy: 0.22 eV per atom

a b c (Å): 5.0091 5.0091 5.0091
angles (deg): 90.00 90.00 90.00
Sites, in units of the cell vectors:
La (0.0000, 0.0000, 0.5000)
La (0.5000, 0.0000, 0.0000)
La (0.0000, 0.5000, 0.0000)
Rh (0.5000, 0.5000, 0.5000)
Mn (0.0000, 0.0000, 0.0000)

Entry 12:
A relaxed structure of CuHgPb2. Source: Alexandria via LeMat-Bulk, functional GGA-PBEsol.

Computed properties:
- DOS at the Fermi energy: 1.90 states/eV/f.u.
- Final energy: -2.95 eV per atom
- SG: I-4m2 (119)
- Density: 12.042 g/cm3
- Calculated formation energy: 0.27 eV per atom

a b c (Å): 4.3249 4.3249 5.8631
angles (deg): 111.64 111.64 90.00
Sites, in units of the cell vectors:
Cu (0.5000, 0.5000, 0.0000)
Hg (0.2500, 0.7500, 0.5000)
Pb (0.0000, 0.0000, 0.0000)
Pb (0.7500, 0.2500, 0.5000)

Entry 13:
A relaxed structure of SrMg2Mo. Source: Alexandria via LeMat-Bulk, functional GGA-PBEsol.

Computed properties:
- Excess energy over the best structure of this formula in the dataset: 0.115 eV per atom
- DOS at the Fermi energy: 4.93 states/eV/f.u.
- Final energy: -3.48 eV per atom
- SG: I-4m2 (119)
- Density: 4.255 g/cm3
- Calculated formation energy: 0.78 eV per atom

a b c (Å): 4.4475 4.4475 5.5559
angles (deg): 113.59 113.59 90.00
Sites, in units of the cell vectors:
Mg (0.7500, 0.2500, 0.5000)
Mg (0.0000, 0.0000, 0.0000)
Sr (0.2500, 0.7500, 0.5000)
Mo (0.5000, 0.5000, 0.0000)